1.
## KSnRu3 (SCAN)

Data for KSnRu3 at its PBEsol-relaxed geometry.

Summary:
The value obtained for the magnetic moment is 4.76 μB/cell. The value obtained for the calculated formation energy is 1.631 eV per atom.

Unit cell a=4.942 b=4.942 c=4.942 alpha=90.00 beta=90.00 gamma=90.00
Space group Pm-3m (No. 221)
Symmetry-distinct sites (fractional):
K 0.000 0.000 0.000 x1
Sn 0.500 0.500 0.500 x1
Ru 0.000 0.500 0.500 x3

2.
## KSrRu (SCAN)

Data for KSrRu at its PBEsol-relaxed geometry.

Summary:
The value obtained for the magnetic moment is 4.03 μB/cell. The value obtained for the calculated formation energy is 1.115 eV per atom.

Unit cell a=7.331 b=7.331 c=7.331 alpha=90.00 beta=90.00 gamma=90.00
Space group F-43m (No. 216)
Symmetry-distinct sites (fractional):
K 0.000 0.000 0.000 x4
Sr 0.000 0.000 0.500 x4
Ru 0.250 0.250 0.750 x4

Question: The lowest calculated formation energy belongs to which entry?
Answer: KSrRu